Entry 1:
## LaDy2As3 (PBE)

Data for crystalline LaDy2As3 at its relaxed geometry.

Structure (extended XYZ):
```
6
Lattice="-2.104 2.981 6.306 2.104 -2.981 6.306 2.104 2.981 -6.306" Properties=species:S:1:pos:R:3 pbc="T T T"
La 0.000 0.000 0.000
Dy 0.000 0.000 4.215
Dy 0.000 0.000 8.397
As 2.104 0.000 2.192
As 0.000 2.981 0.000
As 0.000 2.981 4.114
```

Properties
density of states at the Fermi level: 0.66 states/eV/cell
crystal system: orthorhombic
total magnetic moment: 0.0 μB/f.u.
space group: No. 71



Entry 2:
## AcSm2Pt (PBE)

Data for crystalline AcSm2Pt at its relaxed geometry.

Structure (extended XYZ):
```
16
Lattice="7.401 0.000 0.000 0.000 10.162 0.000 0.000 0.000 6.749" Properties=species:S:1:pos:R:3 pbc="T T T"
Ac 0.206 2.541 0.957
Ac 3.494 7.622 4.332
Ac 3.907 2.541 2.418
Ac 7.195 7.622 5.792
Sm 1.304 0.661 4.523
Sm 1.304 4.420 4.523
Sm 2.397 5.742 1.148
Sm 2.397 9.501 1.148
Sm 5.005 0.661 5.601
Sm 5.005 4.420 5.601
Sm 6.098 5.742 2.226
Sm 6.098 9.501 2.226
Pt 0.854 7.622 2.805
Pt 2.847 2.541 6.180
Pt 4.555 7.622 0.570
Pt 6.548 2.541 3.944
```

Properties
density of states at the Fermi level: 17.53 states/eV/cell
crystal system: orthorhombic
total magnetic moment: 0.0 μB/f.u.
space group: No. 62
relative energy among the computed polymorphs: 0 meV/atom



Entry 3:
## ReIr3Os2 (PBE)

Data for crystalline ReIr3Os2 at its relaxed geometry.

Structure (extended XYZ):
```
12
Lattice="5.459 0.000 0.000 0.000 3.870 0.000 -0.047 0.000 8.244" Properties=species:S:1:pos:R:3 pbc="T T T"
Re 0.691 0.967 2.027
Re 4.721 2.902 6.217
Ir 0.654 0.967 4.803
Ir 2.020 2.902 0.752
Ir 2.012 2.902 6.134
Ir 3.400 0.967 2.110
Ir 3.392 0.967 7.492
Ir 4.758 2.902 3.441
Os 0.617 0.967 7.591
Os 2.020 2.902 3.414
Os 3.392 0.967 4.830
Os 4.795 2.902 0.653
```

Properties
density of states at the Fermi level: 8.20 states/eV/cell
crystal system: monoclinic
total magnetic moment: 0.0 μB/f.u.
space group: No. 11



| no. | ΔE_f (eV/atom) |
| --- | --- |
| 1 | -1.529 |
| 2 | -0.629 |
| 3 | -0.041 |